VASP calculation (PBE) on a relaxed ThU2CrC4 crystal.

Output
The formation energy from the elements comes out at -0.120 eV per atom.

```
data_ThU2CrC4
_chemical_formula_sum 'Th4 U8 Cr4 C16'
_cell_length_a 3.5578
_cell_length_b 11.4896
_cell_length_c 11.5902
_cell_angle_alpha 90.00
_cell_angle_beta 90.00
_cell_angle_gamma 90.00
_space_group_name_H-M_alt 'C m c m'
_space_group_IT_number 63
_space_group_name_Hall '-C 2c 2'
loop_
_atom_site_label
_atom_site_type_symbol
_atom_site_fract_x
_atom_site_fract_y
_atom_site_fract_z
Th1 Th 0.0000 0.1060 0.2500
U1 U 0.0000 0.3695 0.0493
Cr1 Cr 0.0000 0.1546 0.7500
C1 C 0.0000 0.0000 0.0000
C2 C 0.0000 0.2589 0.6225
C3 C 0.0000 0.4300 0.2500
```